[1]
Material: HfCrFe
Method: DFT, PBE
State: optimized geometry

Properties
Space-group type: Imma (74)
Relative energy among the computed polymorphs (meV per atom): 0
ΔH_f (0 K) (meV/atom): -198

The structure in POSCAR format:
```
HfCrFe
1.0
4.2376 0.0344 -2.5251
-2.7094 4.1215 -0.0795
-0.1370 -0.0344 4.9310
Hf Cr Fe
2 2 2
direct
0.2500 0.1277 0.8777 Hf
0.7500 0.8723 0.1223 Hf
0.5000 0.5000 0.5000 Cr
0.0000 0.5000 0.0000 Cr
0.0000 0.5000 0.5000 Fe
0.5000 0.0000 0.5000 Fe
```

=====

[2]
Material: Hf3CrFe
Method: DFT, PBE
State: optimized geometry

Properties
Space-group type: Pm-3m (221)
Relative energy among the computed polymorphs (meV per atom): 0
ΔH_f (0 K) (meV/atom): 751

The structure in POSCAR format:
```
Hf3CrFe
1.0
-3.9756 -0.6397 -2.4131
2.4157 -2.1311 -3.4148
-0.6302 -4.1336 2.1339
Cr Hf Fe
1 3 1
direct
0.5000 0.5000 0.5000 Cr
0.0000 0.5000 0.0000 Hf
0.0000 0.0000 0.5000 Hf
0.5000 0.0000 0.0000 Hf
0.0000 0.0000 0.0000 Fe
```

=====

[3]
Material: HfCr2Fe2
Method: DFT, PBE
State: optimized geometry

Properties
Space-group type: P4/mbm (127)
Relative energy among the computed polymorphs (meV per atom): 0
ΔH_f (0 K) (meV/atom): 192

The structure in POSCAR format:
```
HfCr2Fe2
1.0
6.9592 0.0000 0.0000
0.0000 6.9592 0.0000
0.0000 0.0000 2.6788
Cr Hf Fe
4 2 4
direct
0.1577 0.6577 0.5000 Cr
0.6577 0.8423 0.5000 Cr
0.8423 0.3423 0.5000 Cr
0.3423 0.1577 0.5000 Cr
0.0000 0.0000 0.0000 Hf
0.5000 0.5000 0.0000 Hf
0.3674 0.8674 0.0000 Fe
0.8674 0.6326 0.0000 Fe
0.6326 0.1326 0.0000 Fe
0.1326 0.3674 0.0000 Fe
```

=====

[4]
Material: Hf2CrFeHg
Method: DFT, PBE
State: optimized geometry

Properties
Space-group type: P4/mmm (123)
ΔH_f (0 K) (meV/atom): 598

The structure in POSCAR format:
```
Hf2CrFeHg
1.0
-2.1474 0.3347 4.3920
-3.6692 -0.6444 -1.7449
0.5460 -4.8282 0.6348
Cr Hf Hg Fe
1 2 1 1
direct
0.0000 0.0000 0.0000 Cr
0.0000 0.0000 0.5000 Hf
0.5000 0.0000 0.0000 Hf
0.5000 0.5000 0.5000 Hg
0.0000 0.5000 0.0000 Fe
```